1.
A relaxed structure of Li2Mg2Al2NiAg. Source: OQMD via LeMat-Bulk, functional PBE-GGA.

Cell: 4.382 4.382 6.386 Å, 90.00 90.00 90.00°
Fractional coordinates of all 8 atoms:
Li 0.000 0.000 0.000
Li 0.500 0.500 0.500
Mg 0.000 0.500 0.234
Mg 0.500 0.000 0.766
Al 0.000 0.500 0.775
Al 0.500 0.000 0.225
Ni 0.500 0.500 0.000
Ag 0.000 0.000 0.500

space-group type: No. 115
calculated total energy: -0.1146 Ha/atom
volume: 122.6 Å³/cell
crystal system: tetragonal

2.
A relaxed structure of PrNdPt2. Source: OQMD via LeMat-Bulk, functional PBE-GGA.

Cell: 4.614 7.353 5.739 Å, 90.00 90.00 90.00°
Fractional coordinates of all 8 atoms:
Pr 0.000 0.068 0.000
Pr 0.500 0.932 0.500
Nd 0.000 0.567 0.779
Nd 0.500 0.433 0.279
Pt 0.000 0.209 0.486
Pt 0.000 0.703 0.293
Pt 0.500 0.297 0.793
Pt 0.500 0.791 0.986

space-group type: No. 31
energy relative to the lowest polymorph listed for this composition: 0.0 meV per atom
calculated total energy: -0.2406 Ha/atom
volume: 194.7 Å³/cell
energy of formation: -1133 meV per atom
crystal system: orthorhombic

3.
A relaxed structure of Na4AlGeAu2. Source: OQMD via LeMat-Bulk, functional PBE-GGA.

Cell: 4.821 4.821 6.868 Å, 90.00 90.00 90.00°
Fractional coordinates of all 8 atoms:
Na 0.000 0.000 0.000
Na 0.000 0.500 0.743
Na 0.500 0.000 0.257
Na 0.500 0.500 0.500
Al 0.500 0.500 0.000
Ge 0.000 0.000 0.500
Au 0.000 0.500 0.238
Au 0.500 0.000 0.762

space-group type: No. 115
calculated total energy: -0.0981 Ha/atom
volume: 159.6 Å³/cell
crystal system: tetragonal

4.
A relaxed structure of Ag2GePd. Source: OQMD via LeMat-Bulk, functional PBE-GGA.

Cell: 6.480 6.480 6.480 Å, 90.00 90.00 90.00°
Fractional coordinates of all 16 atoms:
Ag 0.000 0.000 0.000
Ag 0.000 0.500 0.500
Ag 0.250 0.250 0.250
Ag 0.250 0.750 0.750
Ag 0.500 0.000 0.500
Ag 0.500 0.500 0.000
Ag 0.750 0.250 0.750
Ag 0.750 0.750 0.250
Ge 0.000 0.000 0.500
Ge 0.000 0.500 0.000
Ge 0.500 0.000 0.000
Ge 0.500 0.500 0.500
Pd 0.250 0.250 0.750
Pd 0.250 0.750 0.250
Pd 0.750 0.250 0.250
Pd 0.750 0.750 0.750

space-group type: No. 216
calculated total energy: -0.1440 Ha/atom
volume: 272.1 Å³/cell
crystal system: cubic

5.
A relaxed structure of PmNbAl. Source: OQMD via LeMat-Bulk, functional PBE-GGA.

Cell: 6.965 6.965 6.965 Å, 90.00 90.00 90.00°
Fractional coordinates of all 12 atoms:
Pm 0.000 0.000 0.000
Pm 0.000 0.500 0.500
Pm 0.500 0.000 0.500
Pm 0.500 0.500 0.000
Nb 0.250 0.250 0.250
Nb 0.250 0.750 0.750
Nb 0.750 0.250 0.750
Nb 0.750 0.750 0.250
Al 0.250 0.250 0.750
Al 0.250 0.750 0.250
Al 0.750 0.250 0.250
Al 0.750 0.750 0.750

space-group type: No. 216
energy relative to the lowest polymorph listed for this composition: 415.0 meV per atom
calculated total energy: -0.1871 Ha/atom
volume: 337.9 Å³/cell
crystal system: cubic

6.
A relaxed structure of TbGaMo. Source: OQMD via LeMat-Bulk, functional PBE-GGA.

Cell: 6.440 6.440 6.440 Å, 90.00 90.00 90.00°
Fractional coordinates of all 12 atoms:
Tb 0.000 0.000 0.000
Tb 0.000 0.500 0.500
Tb 0.500 0.000 0.500
Tb 0.500 0.500 0.000
Ga 0.250 0.250 0.750
Ga 0.250 0.750 0.250
Ga 0.750 0.250 0.250
Ga 0.750 0.750 0.750
Mo 0.000 0.000 0.500
Mo 0.000 0.500 0.000
Mo 0.500 0.000 0.000
Mo 0.500 0.500 0.500

space-group type: No. 216
calculated total energy: -0.2145 Ha/atom
volume: 267.1 Å³/cell
crystal system: cubic

7.
A relaxed structure of InIrPd. Source: OQMD via LeMat-Bulk, functional PBE-GGA.

Cell: 6.209 6.209 6.209 Å, 90.00 90.00 90.00°
Fractional coordinates of all 12 atoms:
In 0.000 0.000 0.000
In 0.000 0.500 0.500
In 0.500 0.000 0.500
In 0.500 0.500 0.000
Ir 0.250 0.250 0.250
Ir 0.250 0.750 0.750
Ir 0.750 0.250 0.750
Ir 0.750 0.750 0.250
Pd 0.000 0.000 0.500
Pd 0.000 0.500 0.000
Pd 0.500 0.000 0.000
Pd 0.500 0.500 0.500

space-group type: No. 216
calculated total energy: -0.1989 Ha/atom
volume: 239.3 Å³/cell
crystal system: cubic

8.
A relaxed structure of LiBeCoW. Source: OQMD via LeMat-Bulk, functional PBE-GGA.

Cell: 5.612 5.612 5.612 Å, 90.00 90.00 90.00°
Fractional coordinates of all 16 atoms:
Li 0.000 0.000 0.000
Li 0.000 0.500 0.500
Li 0.500 0.000 0.500
Li 0.500 0.500 0.000
Be 0.250 0.250 0.750
Be 0.250 0.750 0.250
Be 0.750 0.250 0.250
Be 0.750 0.750 0.750
Co 0.000 0.000 0.500
Co 0.000 0.500 0.000
Co 0.500 0.000 0.000
Co 0.500 0.500 0.500
W 0.250 0.250 0.250
W 0.250 0.750 0.750
W 0.750 0.250 0.750
W 0.750 0.750 0.250

space-group type: No. 216
energy relative to the lowest polymorph listed for this composition: 0.0 meV per atom
calculated total energy: -0.2335 Ha/atom
volume: 176.7 Å³/cell
crystal system: cubic